A plane-wave DFT calculation with PBE was carried out for crystalline CuHg2Te at its relaxed geometry.

Output
Symmetry: No. 122
E (eV/cell): -28.152
Raw formation energy (eV/f.u.): 0.80
V (A^3/atom): 25.616
Total magnetic moment (μB/atom): 0.00
Theoretical density (g cm⁻³): 9.6

a b c (Å): 4.710 4.710 18.471
angles (deg): 90.00 90.00 90.00
Element x y z (fractional)
Cu (0.000, 0.000, 0.000)
Cu (0.000, 0.500, 0.250)
Cu (0.500, 0.000, 0.750)
Cu (0.500, 0.500, 0.500)
Hg (0.179, 0.250, 0.125)
Hg (0.250, 0.679, 0.375)
Hg (0.250, 0.821, 0.875)
Hg (0.321, 0.250, 0.625)
Hg (0.679, 0.750, 0.625)
Hg (0.750, 0.179, 0.875)
Hg (0.750, 0.321, 0.375)
Hg (0.821, 0.750, 0.125)
Te (0.000, 0.000, 0.500)
Te (0.000, 0.500, 0.750)
Te (0.500, 0.000, 0.250)
Te (0.500, 0.500, 0.000)